# PBE BaMgAlAu, relaxed
# Energy: -11.1 eV/f.u.
# ΔE to the lowest computed polymorph: 32 meV per atom
data_BaMgAlAu
_chemical_formula_sum 'Ba4 Mg4 Al4 Au4'
_space_group_name_H-M_alt 'F -4 3 m'
_space_group_IT_number 216
_space_group_name_Hall 'F -4 2 3'
_cell_length_a 7.414
_cell_length_b 7.414
_cell_length_c 7.414
_cell_angle_alpha 90.00
_cell_angle_beta 90.00
_cell_angle_gamma 90.00
loop_
_atom_site_label
_atom_site_fract_x
_atom_site_fract_y
_atom_site_fract_z
Ba1 0.000 0.000 0.000
Mg1 0.250 0.250 0.250
Al1 0.000 0.000 0.500
Au1 0.250 0.250 0.750


# PBE Ba2Al4PdAu, relaxed
# Energy: -31.6 eV/f.u.
data_Ba2Al4PdAu
_chemical_formula_sum 'Ba4 Al8 Pd2 Au2'
_space_group_name_H-M_alt 'A m m 2'
_space_group_IT_number 38
_cell_length_a 7.497
_cell_length_b 4.320
_cell_length_c 12.463
_cell_angle_alpha 90.00
_cell_angle_beta 90.00
_cell_angle_gamma 90.00
loop_
_space_group_symop_operation_xyz
'x,y,z'
'-x,-y,z'
'-x,y,z'
'x,-y,z'
'x,y+1/2,z+1/2'
'-x,-y+1/2,z+1/2'
'-x,y+1/2,z+1/2'
'x,-y+1/2,z+1/2'
loop_
_atom_site_label
_atom_site_fract_x
_atom_site_fract_y
_atom_site_fract_z
Ba1 0.000 0.000 0.000
Ba2 0.500 0.000 0.087
Al1 0.193 0.000 0.728
Al2 0.317 0.000 0.360
Pd1 0.500 0.000 0.820
Au1 0.000 0.000 0.272